Material: BaNd2Ag2Sn2
Method: DFT, GGA-PBE
State: optimized geometry

Properties
Its space-group type is R-3m. The value obtained for the total DFT energy (no corrections) is -4.071 eV/atom. As for the energy relative to the elements: -3.33 eV/f.u. The value obtained for the density of states at the Fermi level is 1.9 states/eV/cell.

Unit cell a=5.007 b=5.007 c=10.149 alpha=75.72 beta=75.72 gamma=60.00
Fractional coordinates of all 7 atoms:
Ag 0.439 0.439 0.684
Nd 0.137 0.137 0.590
Nd 0.863 0.863 0.410
Ba 0.000 0.000 0.000
Sn 0.254 0.254 0.238
Sn 0.746 0.746 0.762
Ag 0.561 0.561 0.316

Material: BaNdAgSn
Method: DFT, GGA-PBE
State: optimized geometry

Properties
Its space-group type is F-43m. The value obtained for the total DFT energy (no corrections) is -3.798 eV/atom. As for the energy relative to the elements: -1.65 eV/f.u. The value obtained for the density of states at the Fermi level is 1.6 states/eV/cell.

Unit cell a=5.661 b=5.661 c=5.661 alpha=60.00 beta=60.00 gamma=60.00
Fractional coordinates of all 4 atoms:
Nd 0.000 0.000 0.000
Ba 0.500 0.500 0.500
Sn 0.250 0.250 0.250
Ag 0.750 0.750 0.750

Material: BaNd2AgTe4
Method: DFT, GGA-PBE
State: optimized geometry

Properties
Its space-group type is Cmcm. The value obtained for the total DFT energy (no corrections) is -4.639 eV/atom. The value obtained for the density of states at the Fermi level is 3.9 states/eV/cell.

Unit cell a=4.584 b=7.949 c=15.847 alpha=90.00 beta=90.00 gamma=106.76
Fractional coordinates of all 16 atoms:
Nd 0.374 0.748 0.937
Te 0.729 0.458 0.614
Ag 0.149 0.298 0.250
Te 0.000 0.000 0.000
Ba 0.128 0.256 0.750
Te 0.456 0.911 0.750
Ag 0.851 0.702 0.750
Te 0.271 0.542 0.386
Te 0.729 0.458 0.886
Te 0.000 0.000 0.500
Nd 0.626 0.252 0.063
Te 0.271 0.542 0.114
Nd 0.626 0.252 0.437
Te 0.544 0.089 0.250
Ba 0.872 0.744 0.250
Nd 0.374 0.748 0.563

Material: BaNdTlAg
Method: DFT, GGA-PBE
State: optimized geometry

Properties
Its space-group type is F-43m. The value obtained for the total DFT energy (no corrections) is -3.195 eV/atom. As for the energy relative to the elements: -0.87 eV/f.u. The value obtained for the density of states at the Fermi level is 3.1 states/eV/cell.

Unit cell a=5.679 b=5.679 c=5.679 alpha=60.00 beta=60.00 gamma=60.00
Fractional coordinates of all 4 atoms:
Ba 0.500 0.500 0.500
Tl 0.750 0.750 0.750
Nd 0.000 0.000 0.000
Ag 0.250 0.250 0.250

Material: BaNdZnAg
Method: DFT, GGA-PBE
State: optimized geometry

Properties
Its space-group type is F-43m. The value obtained for the total DFT energy (no corrections) is -2.824 eV/atom. As for the energy relative to the elements: -0.48 eV/f.u. The value obtained for the density of states at the Fermi level is 3.4 states/eV/cell.

Unit cell a=5.523 b=5.523 c=5.523 alpha=60.00 beta=60.00 gamma=60.00
Fractional coordinates of all 4 atoms:
Ag 0.250 0.250 0.250
Zn 0.750 0.750 0.750
Nd 0.000 0.000 0.000
Ba 0.500 0.500 0.500

Material: BaNi2Ag
Method: DFT, GGA-PBE
State: optimized geometry

Properties
Its space-group type is R-3m. The value obtained for the total DFT energy (no corrections) is -4.046 eV/atom. As for the energy relative to the elements: 0.15 eV/f.u. The value obtained for the density of states at the Fermi level is 4.1 states/eV/cell.

Unit cell a=4.430 b=4.430 c=5.937 alpha=68.12 beta=68.12 gamma=60.01
Fractional coordinates of all 4 atoms:
Ag 0.750 0.750 0.750
Ni 0.430 0.430 0.709
Ba 0.250 0.250 0.250
Ni 0.070 0.070 0.791

Material: BaNi2Ag
Method: DFT, GGA-PBE
State: optimized geometry

Properties
Its space-group type is I-4m2. The value obtained for the total DFT energy (no corrections) is -3.564 eV/atom. As for the energy relative to the elements: 2.08 eV/f.u. The value obtained for the density of states at the Fermi level is 5.2 states/eV/cell.

Unit cell a=5.459 b=5.459 c=5.459 alpha=134.81 beta=134.81 gamma=65.82
Fractional coordinates of all 4 atoms:
Ni 0.000 0.000 0.000
Ag 0.500 0.500 0.000
Ni 0.250 0.750 0.500
Ba 0.750 0.250 0.500

Material: BaNi2Ag
Method: DFT, GGA-PBE
State: optimized geometry

Properties
Its space-group type is P4/mmm. The value obtained for the total DFT energy (no corrections) is -3.678 eV/atom. As for the energy relative to the elements: 1.62 eV/f.u. The value obtained for the density of states at the Fermi level is 5.6 states/eV/cell.

Unit cell a=3.435 b=3.435 c=6.843 alpha=90.00 beta=90.00 gamma=90.01
Fractional coordinates of all 4 atoms:
Ba 0.500 0.500 0.750
Ni 0.000 0.000 0.425
Ag 0.500 0.500 0.250
Ni 0.000 0.000 0.075

Material: BaNiAg3
Method: DFT, GGA-PBE
State: optimized geometry

Properties
Its space-group type is Pm-3m. The value obtained for the energy above the most stable polymorph in this dataset is 0 meV/atom. The value obtained for the total DFT energy (no corrections) is -3.156 eV/atom. As for the energy relative to the elements: 0.48 eV/f.u. The value obtained for the density of states at the Fermi level is 2.1 states/eV/cell.

Unit cell a=5.023 b=5.023 c=5.023 alpha=90.00 beta=90.00 gamma=90.00
Fractional coordinates of all 5 atoms:
Ag 0.000 0.000 0.500
Ag 0.500 0.000 0.000
Ag 0.000 0.500 0.000
Ba 0.500 0.500 0.500
Ni 0.000 0.000 0.000

Material: BaNi2Ag
Method: DFT, GGA-PBE
State: optimized geometry

Properties
Its space-group type is F-43m. The value obtained for the total DFT energy (no corrections) is -3.490 eV/atom. As for the energy relative to the elements: 2.38 eV/f.u. The value obtained for the density of states at the Fermi level is 3.2 states/eV/cell.

Unit cell a=4.924 b=4.924 c=4.924 alpha=60.00 beta=60.00 gamma=60.00
Fractional coordinates of all 4 atoms:
Ni 0.000 0.000 0.000
Ag 0.500 0.500 0.500
Ba 0.750 0.750 0.750
Ni 0.250 0.250 0.250

Material: BaNi2Ag
Method: DFT, GGA-PBE
State: optimized geometry

Properties
Its space-group type is P4/mmm. The value obtained for the total DFT energy (no corrections) is -3.612 eV/atom. As for the energy relative to the elements: 1.89 eV/f.u. The value obtained for the density of states at the Fermi level is 2.3 states/eV/cell.

Unit cell a=4.516 b=4.516 c=3.858 alpha=89.98 beta=89.98 gamma=90.00
Fractional coordinates of all 4 atoms:
Ni 0.500 0.500 0.000
Ni 0.000 0.000 0.000
Ag 0.500 0.000 0.500
Ba 0.000 0.500 0.500

Material: BaNi2Ag
Method: DFT, GGA-PBE
State: optimized geometry

Properties
Its space-group type is Fm-3m. The value obtained for the total DFT energy (no corrections) is -3.581 eV/atom. As for the energy relative to the elements: 2.01 eV/f.u. The value obtained for the density of states at the Fermi level is 3.6 states/eV/cell.

Unit cell a=4.854 b=4.854 c=4.854 alpha=60.00 beta=60.00 gamma=60.00
Fractional coordinates of all 4 atoms:
Ag 0.000 0.000 0.000
Ba 0.500 0.500 0.500
Ni 0.750 0.750 0.750
Ni 0.250 0.250 0.250